Entry from the Open Quantum Materials Database: crystalline YEr2Sn4Pd4 at its relaxed geometry (PBE-GGA).

a b c (Å): 8.487 8.487 8.487
angles (deg): 150.07 128.36 60.84
Fractional positions:
Sn 0.697 0.500 0.197
Sn 0.215 0.215 0.000
Sn 0.303 0.500 0.803
Sn 0.785 0.785 0.000
Pd 0.621 0.323 0.298
Pd 0.025 0.323 0.702
Pd 0.379 0.677 0.702
Pd 0.975 0.677 0.298
Er 0.371 0.871 0.500
Er 0.629 0.129 0.500
Y 0.000 0.000 0.000

Values from the calculation:
Volume, Å³ per cell: 237.1
Spin magnetization, μB per cell: 0.02
Final energy, hartree per atom: -0.205